# NaZrP2Se8

NaZrP2Se8 after structural relaxation (PBE, Alexandria).

POSCAR file:
```
NaZrP2Se8
1.0
-0.854 -2.046 -5.981
5.476 -1.219 3.037
-3.509 -7.835 3.181
Na Zr P Se
1 1 2 8
direct
0.000 0.000 0.000 Na
0.000 0.000 0.500 Zr
0.667 0.333 0.260 P
0.333 0.667 0.740 P
0.333 0.667 0.979 Se
0.334 0.352 0.327 Se
0.648 0.983 0.327 Se
0.667 0.333 0.021 Se
0.352 0.017 0.673 Se
0.666 0.648 0.673 Se
0.983 0.334 0.673 Se
0.017 0.666 0.327 Se
```

Symmetry: P-3 (147)
Density of states at the Fermi level: 9.24 states/eV per cell

=====

# Na3SiP3

Na3SiP3 after structural relaxation (PBE, Alexandria).

POSCAR file:
```
Na3SiP3
1.0
-3.779 -2.413 5.166
-0.707 -4.895 -4.726
6.338 -2.750 2.658
Na Si P
6 2 6
direct
0.641 0.641 0.364 Na
0.184 0.816 0.500 Na
0.816 0.184 0.500 Na
0.266 0.734 0.000 Na
0.734 0.266 0.000 Na
0.359 0.359 0.636 Na
0.849 0.849 0.884 Si
0.151 0.151 0.116 Si
0.905 0.905 0.187 P
0.781 0.553 0.723 P
0.553 0.781 0.723 P
0.219 0.447 0.277 P
0.447 0.219 0.277 P
0.095 0.095 0.813 P
```

Symmetry: C2/m (12)

=====

# NaSi2P

NaSi2P after structural relaxation (PBE, Alexandria).

POSCAR file:
```
NaSi2P
1.0
7.188 0.000 0.000
0.000 7.188 0.000
3.594 3.594 2.948
P Si Na
2 4 2
direct
0.000 0.000 0.000 P
0.750 0.250 0.500 P
0.684 0.125 0.250 Si
0.066 0.625 0.250 Si
0.375 0.316 0.750 Si
0.875 0.934 0.750 Si
0.500 0.500 0.000 Na
0.250 0.750 0.500 Na
```

Symmetry: I-42d (122)
Density of states at the Fermi level: 1.70 states/eV per cell

=====

# NaSi3P

NaSi3P after structural relaxation (PBE, Alexandria).

POSCAR file:
```
NaSi3P
1.0
4.702 0.000 0.000
0.000 4.702 0.000
0.000 0.000 4.702
P Si Na
1 3 1
direct
0.000 0.000 0.000 P
0.000 0.500 0.000 Si
0.000 0.000 0.500 Si
0.500 0.000 0.000 Si
0.500 0.500 0.500 Na
```

ΔE to the lowest computed polymorph: 0.00 eV/f.u.
Symmetry: Pm-3m (221)
Density of states at the Fermi level: 2.50 states/eV per cell

=====

# Na6SiP4

Na6SiP4 after structural relaxation (PBE, Alexandria).

POSCAR file:
```
Na6SiP4
1.0
6.920 0.000 0.000
0.000 8.015 -4.627
0.000 0.000 9.255
Na Si P
12 2 8
direct
0.439 0.705 0.852 Na
0.439 0.148 0.295 Na
0.439 0.148 0.852 Na
0.939 0.295 0.148 Na
0.939 0.852 0.705 Na
0.939 0.852 0.148 Na
0.640 0.947 0.474 Na
0.640 0.526 0.053 Na
0.640 0.526 0.474 Na
0.140 0.053 0.526 Na
0.140 0.474 0.947 Na
0.140 0.474 0.526 Na
0.763 0.333 0.667 Si
0.263 0.667 0.333 Si
0.437 0.333 0.667 P
0.937 0.667 0.333 P
0.852 0.605 0.803 P
0.852 0.197 0.395 P
0.852 0.197 0.803 P
0.352 0.395 0.197 P
0.352 0.803 0.605 P
0.352 0.803 0.197 P
```

Symmetry: P6_3mc (186)
Density of states at the Fermi level: 14.96 states/eV per cell

=====

# NaSi2P3

NaSi2P3 after structural relaxation (PBE, Alexandria).

POSCAR file:
```
NaSi2P3
1.0
3.679 0.000 0.000
0.000 7.618 -0.763
-1.840 -2.872 10.334
Na Si P
2 4 6
direct
0.363 0.205 0.726 Na
0.637 0.795 0.274 Na
0.306 0.597 0.612 Si
0.694 0.403 0.388 Si
0.954 0.814 0.909 Si
0.046 0.186 0.091 Si
0.231 0.288 0.462 P
0.065 0.922 0.130 P
0.413 0.618 0.825 P
0.769 0.712 0.538 P
0.587 0.382 0.175 P
0.935 0.078 0.870 P
```

Symmetry: C2/m (12)
Density of states at the Fermi level: 1.13 states/eV per cell

=====

Calculated energy relative to the elements, uncorrected (eV/atom), listed in the same order as above: -0.369, -0.290, 0.213, 0.682, -0.302, -0.201
Calculated calculated total energy (Ry per atom), listed in the same order as above: -0.3246, -0.2902, -0.3073, -0.2880, -0.2559, -0.3626